# 1
Computed, not measured: crystalline TaTlMo4 at its relaxed geometry at the GGA-PBE level of DFT.

POSCAR file:
```
TaTlMo4
1.0
0.0000 3.7530 3.7530
3.7530 0.0000 3.7530
3.7530 3.7530 0.0000
Ta Tl Mo
1 1 4
direct
0.0000 0.0000 0.0000
0.7500 0.7500 0.7500
0.3755 0.3755 0.3755
0.3755 0.3755 0.8736
0.3755 0.8736 0.3755
0.8736 0.3755 0.3755
```

## Properties
Density of states at the Fermi level in states/eV/cell: 2.009
DFT formation energy in eV/atom: 0.319

---

# 2
Computed, not measured: crystalline Tb4Ho3Sc4 at its relaxed geometry at the GGA-PBE level of DFT.

POSCAR file:
```
Tb4Ho3Sc4
1.0
3.4045 0.0000 0.0000
-0.0001 5.3947 0.0000
-1.6993 -2.6889 17.2207
Tb Ho Sc
4 3 4
direct
0.0471 0.0477 0.0946
0.1815 0.6822 0.3639
0.8185 0.3178 0.6361
0.9529 0.9523 0.9054
0.3618 0.8611 0.7229
0.5000 0.5000 0.0000
0.6382 0.1389 0.2771
0.0917 0.5926 0.1840
0.2344 0.2343 0.4684
0.7656 0.7657 0.5316
0.9083 0.4074 0.8160
```

## Properties
Density of states at the Fermi level in states/eV/cell: 20.411
DFT formation energy in eV/atom: 0.069

---

# 3
Computed, not measured: crystalline Cs2SrCdH6 at its relaxed geometry at the GGA-PBE level of DFT.

POSCAR file:
```
Cs2SrCdH6
1.0
6.5499 0.0000 0.0000
-3.2750 5.6724 0.0000
0.0000 0.0000 6.3030
Cs Sr Cd H
2 1 1 6
direct
0.3333 0.6667 0.3580
0.6667 0.3333 0.6420
0.0000 0.0000 0.0000
0.0000 0.0000 0.5000
0.1425 0.2850 0.7085
0.1425 0.8575 0.7085
0.2850 0.1425 0.2915
0.7150 0.8575 0.7085
0.8575 0.1425 0.2915
0.8575 0.7150 0.2915
```

## Properties
Uncorrected energy in eV per atom: -2.585